<w>
A plane-wave DFT calculation with GGA-PBE was carried out for crystalline Tb7Y3Ho2 at its relaxed geometry.

Unit cell a=3.5834 b=5.7865 c=18.6673 alpha=93.53 beta=90.00 gamma=90.00
Last column: nearest neighbours and their distance in Å.
Fractional positions:
Tb: 0.5000 0.7422 0.4635  1 Ho 3.14, 2 Tb 3.19-3.20
Tb: 0.5000 0.2578 0.5365  1 Ho 3.14, 2 Tb 3.19-3.20
Tb: 0.0000 0.6829 0.1445  2 Ho 3.33, 7 Tb 3.35-3.58, 2 Y 3.36
Tb: 0.0000 0.0000 0.0000  4 Tb 3.35-3.58, 4 Y 3.40
Tb: 0.0000 0.3171 0.8555  2 Ho 3.33, 7 Tb 3.35-3.58, 2 Y 3.36
Tb: 0.5000 0.8156 0.8207  6 Tb 3.44-3.58, 2 Ho 3.61
Tb: 0.5000 0.1844 0.1793  6 Tb 3.44-3.58, 2 Ho 3.61
Y: 0.5000 0.5000 0.0000  8 Tb 3.36-3.40, 2 Y 3.58
Y: 0.0000 0.2194 0.3673  2 Y 3.58, 8 Tb 3.63-3.93, 4 Ho 3.65-3.67
Y: 0.0000 0.7806 0.6327  2 Y 3.58, 8 Tb 3.63-3.93, 4 Ho 3.65-3.67
Ho: 0.5000 0.7074 0.2951  3 Tb 3.14-3.33
Ho: 0.5000 0.2926 0.7049  3 Tb 3.14-3.33

Summary:
space group: No. 10
density: 7.3 g/cm3
crystal system: monoclinic
magnetization: 0.0 μB per cell

=====

<x>
A plane-wave DFT calculation with GGA-PBE was carried out for crystalline Tb7Y3Ho2 at its relaxed geometry.

Unit cell a=6.5151 b=6.5151 c=11.6598 alpha=73.78 beta=73.78 gamma=60.00
Last column: nearest neighbours and their distance in Å.
Fractional positions:
Tb: 0.5000 0.5000 0.5000  6 Tb 3.31
Tb: 0.0803 0.5870 0.7457  5 Tb 3.21-3.31, 2 Ho 3.38
Tb: 0.5870 0.5870 0.7457  5 Tb 3.21-3.31, 2 Ho 3.38
Tb: 0.5870 0.0803 0.7457  5 Tb 3.21-3.31, 2 Ho 3.38
Tb: 0.9197 0.4130 0.2543  5 Tb 3.21-3.31, 2 Ho 3.38
Tb: 0.4130 0.9197 0.2543  5 Tb 3.21-3.31, 2 Ho 3.38
Tb: 0.4130 0.4130 0.2543  5 Tb 3.21-3.31, 2 Ho 3.38
Y: 0.0000 0.0000 0.0000  6 Ho 3.76
Y: 0.1509 0.1509 0.5472  12 Tb 3.73-3.93, 3 Y 3.90
Y: 0.8491 0.8491 0.4528  12 Tb 3.73-3.93, 3 Y 3.90
Ho: 0.3338 0.3338 0.9987  6 Tb 3.38, 3 Y 3.76, 3 Ho 3.76
Ho: 0.6662 0.6662 0.0013  6 Tb 3.38, 3 Y 3.76, 3 Ho 3.76

Summary:
space group: No. 166
density: 7.0 g/cm3
crystal system: trigonal
magnetization: 0.0 μB per cell

=====

Most stable = <w>

=====

<w>
A plane-wave DFT calculation with GGA-PBE was carried out for crystalline Tb3Y2Ho5 at its relaxed geometry.

Unit cell a=6.6481 b=10.9376 c=10.9376 alpha=61.79 beta=72.31 gamma=72.31
Last column: nearest neighbours and their distance in Å.
Fractional positions:
Tb: 0.2500 0.0000 0.0000  4 Y 3.16, 2 Ho 3.19, 2 Tb 3.32
Tb: 0.7500 0.0000 0.0000  4 Y 3.16, 2 Ho 3.19, 2 Tb 3.32
Tb: 0.3275 0.4598 0.8852  6 Ho 3.44-3.63, 1 Y 3.59
Tb: 0.6725 0.5402 0.1148  6 Ho 3.44-3.63, 1 Y 3.59
Tb: 0.8275 0.8852 0.4598  6 Ho 3.44-3.63, 1 Y 3.59
Tb: 0.1725 0.1148 0.5402  6 Ho 3.44-3.63, 1 Y 3.59
Y: 0.0292 0.7361 0.2055  3 Ho 3.12-3.45, 2 Tb 3.16, 2 Y 3.48
Y: 0.9708 0.2639 0.7945  3 Ho 3.12-3.45, 2 Tb 3.16, 2 Y 3.48
Y: 0.5292 0.2055 0.7361  3 Ho 3.12-3.45, 2 Tb 3.16, 2 Y 3.48
Y: 0.4708 0.7945 0.2639  3 Ho 3.12-3.45, 2 Tb 3.16, 2 Y 3.48
Ho: 0.2500 0.5000 0.5000  6 Ho 3.32-3.56, 4 Y 3.45
Ho: 0.7500 0.5000 0.5000  6 Ho 3.32-3.56, 4 Y 3.45
Ho: 0.4318 0.8182 0.8182  1 Tb 3.19, 4 Ho 3.27-3.32
Ho: 0.0682 0.1818 0.1818  1 Tb 3.19, 4 Ho 3.27-3.32
Ho: 0.5682 0.1818 0.1818  1 Tb 3.19, 4 Ho 3.27-3.32
Ho: 0.9318 0.8182 0.8182  1 Tb 3.19, 4 Ho 3.27-3.32
Ho: 0.1692 0.4243 0.2374  1 Y 3.12, 2 Ho 3.27, 1 Tb 3.44
Ho: 0.8308 0.5757 0.7626  1 Y 3.12, 2 Ho 3.27, 1 Tb 3.44
Ho: 0.6692 0.2374 0.4243  1 Y 3.12, 2 Ho 3.27, 1 Tb 3.44
Ho: 0.3308 0.7626 0.5757  1 Y 3.12, 2 Ho 3.27, 1 Tb 3.44

Summary:
space group: No. 72
density: 7.5 g/cm3
crystal system: orthorhombic
magnetization: 0.0 μB per cell

=====

<x>
A plane-wave DFT calculation with GGA-PBE was carried out for crystalline Tb3Y2Ho5 at its relaxed geometry.

Unit cell a=9.5297 b=9.4889 c=11.0781 alpha=126.12 beta=126.21 gamma=67.98
Last column: nearest neighbours and their distance in Å.
Fractional positions:
Tb: 0.2296 0.9796 0.9591  3 Ho 3.24-3.53, 4 Y 3.30-3.48, 2 Tb 3.44
Tb: 0.7704 0.0204 0.0409  3 Ho 3.24-3.53, 4 Y 3.30-3.48, 2 Tb 3.44
Tb: 0.7309 0.4689 0.2480  1 Y 3.19, 6 Ho 3.28-3.53, 1 Tb 3.44
Tb: 0.2691 0.5311 0.7520  1 Y 3.19, 6 Ho 3.28-3.53, 1 Tb 3.44
Tb: 0.0172 0.7792 0.2480  1 Y 3.19, 6 Ho 3.28-3.53, 1 Tb 3.44
Tb: 0.9828 0.2208 0.7520  1 Y 3.19, 6 Ho 3.28-3.53, 1 Tb 3.44
Y: 0.7766 0.0128 0.7425  3 Tb 3.19-3.48, 5 Ho 3.30-3.56
Y: 0.2234 0.9872 0.2575  3 Tb 3.19-3.48, 5 Ho 3.30-3.56
Y: 0.4659 0.7296 0.7425  3 Tb 3.19-3.48, 5 Ho 3.30-3.56
Y: 0.5341 0.2704 0.2575  3 Tb 3.19-3.48, 5 Ho 3.30-3.56
Ho: 0.2730 0.5230 0.0460  1 Ho 3.10, 2 Tb 3.28
Ho: 0.7270 0.4770 0.9540  1 Ho 3.10, 2 Tb 3.28
Ho: 0.0215 0.7715 0.5431  5 Tb 3.24-3.44, 2 Y 3.42, 2 Ho 3.48
Ho: 0.5279 0.2779 0.5557  1 Ho 3.10, 2 Y 3.30
Ho: 0.9785 0.2285 0.4569  5 Tb 3.24-3.44, 2 Y 3.42, 2 Ho 3.48
Ho: 0.4721 0.7221 0.4443  1 Ho 3.10, 2 Y 3.30
Ho: 0.8573 0.6074 0.7431  3 Tb 3.45-3.67, 2 Y 3.46-3.63, 3 Ho 3.48-3.56
Ho: 0.1427 0.3926 0.2569  3 Tb 3.45-3.67, 2 Y 3.46-3.63, 3 Ho 3.48-3.56
Ho: 0.3858 0.1357 0.7431  3 Tb 3.45-3.67, 2 Y 3.46-3.63, 3 Ho 3.48-3.56
Ho: 0.6142 0.8643 0.2569  3 Tb 3.45-3.67, 2 Y 3.46-3.63, 3 Ho 3.48-3.56

Summary:
space group: No. 15
density: 7.5 g/cm3
crystal system: monoclinic
magnetization: 0.0 μB per cell

=====

Most stable = <x>

=====

<w>
A plane-wave DFT calculation with GGA-PBE was carried out for crystalline TbYHo6 at its relaxed geometry.

Unit cell a=4.9980 b=6.1192 c=9.3484 alpha=90.06 beta=105.53 gamma=65.99
Last column: nearest neighbours and their distance in Å.
Fractional positions:
Tb: 0.0000 0.0000 0.0000  12 Ho 3.53-3.54
Y: 0.5000 0.5000 0.5000  12 Ho 3.53-3.54
Ho: 0.2508 0.2488 0.7505  8 Ho 3.53-3.54, 2 Tb 3.53, 2 Y 3.54
Ho: 0.8752 0.8748 0.6252  8 Ho 3.53-3.54, 1 Tb 3.53, 3 Y 3.53-3.54
Ho: 0.3749 0.3750 0.1248  8 Ho 3.53-3.54, 3 Tb 3.53-3.54, 1 Y 3.53
Ho: 0.1248 0.1252 0.3748  8 Ho 3.53-3.54, 1 Tb 3.53, 3 Y 3.53-3.54
Ho: 0.7492 0.7512 0.2495  8 Ho 3.53-3.54, 2 Tb 3.53, 2 Y 3.54
Ho: 0.6251 0.6250 0.8752  8 Ho 3.53-3.54, 3 Tb 3.53-3.54, 1 Y 3.53

Summary:
space group: No. 2
density: 8.2 g/cm3
crystal system: triclinic
magnetization: 0.0 μB per cell

=====

<x>
A plane-wave DFT calculation with GGA-PBE was carried out for crystalline TbYHo6 at its relaxed geometry.

Unit cell a=6.7046 b=6.5283 c=6.8996 alpha=76.46 beta=61.18 gamma=90.30
Last column: nearest neighbours and their distance in Å.
Fractional positions:
Tb: 0.0000 0.0000 0.0000  2 Y 3.26, 6 Ho 3.36-3.64
Y: 0.0000 0.5000 0.0000  2 Tb 3.26, 6 Ho 3.36-3.65
Ho: 0.0952 0.7713 0.4776  5 Ho 3.26-3.65, 1 Y 3.36, 1 Tb 3.64
Ho: 0.5736 0.7306 0.5208  5 Ho 3.26-3.64, 1 Tb 3.36
Ho: 0.4264 0.2694 0.4792  5 Ho 3.26-3.64, 1 Tb 3.36
Ho: 0.9048 0.2287 0.5224  5 Ho 3.26-3.65, 1 Y 3.36, 1 Tb 3.64
Ho: 0.5473 0.7500 0.0004  4 Ho 3.26-3.33, 1 Tb 3.44, 1 Y 3.45
Ho: 0.4527 0.2500 0.9996  4 Ho 3.26-3.33, 1 Tb 3.44, 1 Y 3.45

Summary:
space group: No. 2
density: 8.1 g/cm3
crystal system: triclinic
magnetization: 0.0 μB per cell

=====

Most stable = <w>

=====

<w>
A plane-wave DFT calculation with GGA-PBE was carried out for crystalline TbY4Ho2 at its relaxed geometry.

Unit cell a=3.5452 b=9.4154 c=8.5362 alpha=121.70 beta=78.02 gamma=112.08
Last column: nearest neighbours and their distance in Å.
Fractional positions:
Tb: 0.0000 0.0000 0.0000  2 Ho 3.33, 2 Tb 3.55, 4 Y 3.56-3.57
Y: 0.4099 0.7065 0.5916  3 Ho 3.32-3.49, 5 Y 3.55-3.61, 2 Tb 3.56-3.57
Y: 0.8080 0.1666 0.7193  7 Y 3.55-3.81, 4 Ho 3.58, 2 Tb 3.75-3.76
Y: 0.5901 0.2935 0.4084  3 Ho 3.32-3.49, 5 Y 3.55-3.61, 2 Tb 3.56-3.57
Y: 0.1920 0.8334 0.2807  7 Y 3.55-3.81, 4 Ho 3.58, 2 Tb 3.75-3.76
Ho: 0.3602 0.4299 0.1401  1 Ho 3.13, 3 Y 3.32-3.49, 1 Tb 3.33
Ho: 0.6398 0.5701 0.8599  1 Ho 3.13, 3 Y 3.32-3.49, 1 Tb 3.33

Summary:
space group: No. 12
density: 6.2 g/cm3
crystal system: monoclinic
magnetization: 0.0 μB per cell

=====

<x>
A plane-wave DFT calculation with GGA-PBE was carried out for crystalline TbY4Ho2 at its relaxed geometry.

Unit cell a=8.5498 b=9.5708 c=9.5759 alpha=141.18 beta=100.45 gamma=93.74
Last column: nearest neighbours and their distance in Å.
Fractional positions:
Tb: 0.0456 0.7211 0.6349  5 Y 3.16-3.49, 1 Ho 3.43, 2 Tb 3.51-3.52
Tb: 0.2052 0.3402 0.1772  5 Y 3.16-3.48, 1 Ho 3.43, 2 Tb 3.51-3.52
Y: 0.8898 0.1114 0.1547  2 Ho 3.16-3.30, 2 Tb 3.22-3.45, 2 Y 3.23-3.51
Y: 0.3905 0.6626 0.2056  1 Tb 3.16, 3 Ho 3.22-3.44, 2 Y 3.24-3.49
Y: 0.8594 0.5657 0.7725  1 Tb 3.16, 3 Ho 3.22-3.44, 2 Y 3.23-3.49
Y: 0.7858 0.0284 0.7179  2 Tb 3.47-3.68, 3 Ho 3.48-3.62, 5 Y 3.51-3.88
Y: 0.2850 0.9949 0.1866  3 Ho 3.47-3.66, 2 Tb 3.48-3.57, 4 Y 3.49-3.66
Y: 0.3601 0.0152 0.7221  2 Ho 3.16-3.30, 2 Tb 3.22-3.45, 2 Y 3.24-3.50
Y: 0.4650 0.6826 0.7430  2 Tb 3.47-3.67, 3 Ho 3.47-3.62, 4 Y 3.50-3.65
Y: 0.9643 0.6515 0.2100  3 Ho 3.47-3.66, 2 Tb 3.49-3.58, 5 Y 3.49-3.88
Ho: 0.5460 0.3391 0.7530  5 Y 3.16-3.47, 3 Ho 3.44-3.51
Ho: 0.7033 0.9577 0.2932  5 Y 3.16-3.48, 3 Ho 3.44-3.51
Ho: 0.6256 0.4005 0.2751  6 Y 3.30-3.69, 2 Tb 3.43
Ho: 0.1245 0.2790 0.6542  5 Y 3.29-3.69, 2 Ho 3.44

Summary:
space group: No. 1
density: 6.2 g/cm3
crystal system: triclinic
magnetization: 0.0 μB per cell

=====

Most stable = <w>

=====

<w>
A plane-wave DFT calculation with GGA-PBE was carried out for crystalline TbYHo5 at its relaxed geometry.

Unit cell a=6.7159 b=6.7159 c=13.6422 alpha=61.62 beta=61.62 gamma=59.94
Last column: nearest neighbours and their distance in Å.
Fractional positions:
Tb: 0.7227 0.2773 0.7500  3 Ho 2.97-3.28
Tb: 0.2773 0.7227 0.2500  3 Ho 2.97-3.28
Y: 0.0000 0.0000 0.0000  4 Ho 3.23-3.59
Y: 0.0000 0.0000 0.5000  4 Ho 3.23-3.59
Ho: 0.1660 0.3894 0.7526  2 Ho 2.97-3.27, 1 Y 3.23
Ho: 0.6552 0.6889 0.4994  4 Ho 3.27-3.62, 1 Tb 3.28
Ho: 0.3894 0.1660 0.2526  2 Ho 2.97-3.27, 1 Y 3.23
Ho: 0.1658 0.8342 0.7500  2 Ho 2.97, 1 Tb 2.97
Ho: 0.3111 0.3448 0.0006  4 Ho 3.27-3.62, 1 Tb 3.28
Ho: 0.6889 0.6552 0.9994  4 Ho 3.27-3.62, 1 Tb 3.28
Ho: 0.8342 0.1658 0.2500  2 Ho 2.97, 1 Tb 2.97
Ho: 0.6106 0.8340 0.7474  2 Ho 2.97-3.27, 1 Y 3.23
Ho: 0.3448 0.3111 0.5006  4 Ho 3.27-3.62, 1 Tb 3.28
Ho: 0.8340 0.6106 0.2474  2 Ho 2.97-3.27, 1 Y 3.23

Summary:
space group: No. 15
density: 8.0 g/cm3
crystal system: monoclinic
magnetization: 0.0 μB per cell

=====

<x>
A plane-wave DFT calculation with GGA-PBE was carried out for crystalline TbYHo5 at its relaxed geometry.

Unit cell a=5.7656 b=7.8880 c=7.8880 alpha=66.00 beta=68.56 gamma=68.56
Last column: nearest neighbours and their distance in Å.
Fractional positions:
Tb: 0.0000 0.0000 0.0000  6 Ho 3.03-3.26
Y: 0.5000 0.5000 0.5000  6 Ho 2.77-2.92
Ho: 0.5000 0.1780 0.8220  1 Y 2.77, 1 Ho 3.06
Ho: 0.5000 0.8220 0.1780  1 Y 2.77, 1 Ho 3.06
Ho: 0.7453 0.2547 0.2547  1 Y 2.92, 1 Tb 3.03
Ho: 0.2547 0.7453 0.7453  1 Y 2.92, 1 Tb 3.03
Ho: 0.0000 0.5000 0.5000  2 Y 2.88

Summary:
space group: No. 71
density: 6.0 g/cm3
crystal system: orthorhombic
magnetization: 0.0 μB per cell

=====

Most stable = <w>